A relaxed KAg2Cl crystal. Source: the Alexandria database, functional PBE.

CIF file:
```
data_KAg2Cl
_chemical_formula_sum 'K1 Ag2 Cl1'
_symmetry_space_group_name_H-M 'P 1'
_symmetry_Int_Tables_number 1
_cell_length_a 5.835
_cell_length_b 5.835
_cell_length_c 5.835
_cell_angle_alpha 138.47
_cell_angle_beta 110.87
_cell_angle_gamma 83.98
loop_
_symmetry_equiv_pos_as_xyz
'x,y,z'
loop_
_atom_site_label
_atom_site_type_symbol
_atom_site_fract_x
_atom_site_fract_y
_atom_site_fract_z
_atom_site_occupancy
Ag1 Ag 0.055 0.055 0.000 1
K1 K 0.726 0.226 0.500 1
Ag2 Ag 0.257 0.757 0.500 1
Cl1 Cl 0.462 0.462 0.000 1
```

Values from the calculation:
- Energy above the most stable polymorph in this dataset: 90 kJ/mol of formula units
- Formation energy without anion corrections: -0.306 eV/atom

A relaxed K6Ag3Cl14 crystal. Source: the Alexandria database, functional PBE.

CIF file:
```
data_K6Ag3Cl14
_chemical_formula_sum 'K6 Ag3 Cl14'
_symmetry_space_group_name_H-M 'P 1'
_symmetry_Int_Tables_number 1
_cell_length_a 7.093
_cell_length_b 10.991
_cell_length_c 10.991
_cell_angle_alpha 120.00
_cell_angle_beta 90.00
_cell_angle_gamma 90.00
loop_
_symmetry_equiv_pos_as_xyz
'x,y,z'
loop_
_atom_site_label
_atom_site_type_symbol
_atom_site_fract_x
_atom_site_fract_y
_atom_site_fract_z
_atom_site_occupancy
K1 K 0.267 0.921 0.718 1
Cl1 Cl 0.244 0.594 0.473 1
K2 K 0.772 0.532 0.567 1
K3 K 0.267 0.282 0.203 1
Cl2 Cl 0.990 0.159 0.934 1
Cl3 Cl 0.244 0.879 0.406 1
Cl4 Cl 0.651 0.455 0.255 1
Cl5 Cl 0.985 0.333 0.667 1
Cl6 Cl 0.244 0.527 0.121 1
Ag1 Ag 0.445 0.667 0.333 1
Cl7 Cl 0.990 0.775 0.841 1
K4 K 0.772 0.433 0.965 1
K5 K 0.772 0.035 0.468 1
Cl8 Cl 0.502 0.191 0.748 1
K6 K 0.267 0.797 0.079 1
Cl9 Cl 0.502 0.252 0.444 1
Cl10 Cl 0.502 0.556 0.809 1
Ag2 Ag 0.330 0.333 0.667 1
Cl11 Cl 0.990 0.066 0.225 1
Cl12 Cl 0.651 0.745 0.200 1
Cl13 Cl 0.480 0.000 0.000 1
Ag3 Ag 0.825 0.000 0.000 1
Cl14 Cl 0.651 0.800 0.545 1
```

Values from the calculation:
- D(E_F): 21.96 states/eV per cell
- Formation energy without anion corrections: -1.081 eV/atom

A relaxed K2AgCl3 crystal. Source: the Alexandria database, functional PBE.

CIF file:
```
data_K2AgCl3
_chemical_formula_sum 'K2 Ag1 Cl3'
_symmetry_space_group_name_H-M 'P 1'
_symmetry_Int_Tables_number 1
_cell_length_a 4.171
_cell_length_b 5.151
_cell_length_c 8.979
_cell_angle_alpha 106.67
_cell_angle_beta 103.43
_cell_angle_gamma 90.00
loop_
_symmetry_equiv_pos_as_xyz
'x,y,z'
loop_
_atom_site_label
_atom_site_type_symbol
_atom_site_fract_x
_atom_site_fract_y
_atom_site_fract_z
_atom_site_occupancy
Ag1 Ag 0.000 0.000 0.000 1
Cl1 Cl 0.000 0.500 0.000 1
Cl2 Cl 0.161 0.161 0.322 1
K1 K 0.650 0.650 0.300 1
Cl3 Cl 0.839 0.839 0.678 1
K2 K 0.350 0.350 0.700 1
```

Values from the calculation:
- Energy above the most stable polymorph in this dataset: 18 kJ/mol of formula units
- D(E_F): 0.00 states/eV per cell
- Formation energy without anion corrections: -1.425 eV/atom

A relaxed KAg2Cl crystal. Source: the Alexandria database, functional PBE.

CIF file:
```
data_KAg2Cl
_chemical_formula_sum 'K1 Ag2 Cl1'
_symmetry_space_group_name_H-M 'P 1'
_symmetry_Int_Tables_number 1
_cell_length_a 6.978
_cell_length_b 6.978
_cell_length_c 3.119
_cell_angle_alpha 90.00
_cell_angle_beta 90.00
_cell_angle_gamma 132.87
loop_
_symmetry_equiv_pos_as_xyz
'x,y,z'
loop_
_atom_site_label
_atom_site_type_symbol
_atom_site_fract_x
_atom_site_fract_y
_atom_site_fract_z
_atom_site_occupancy
Ag1 Ag 0.000 0.000 0.000 1
Ag2 Ag 0.500 0.500 0.000 1
K1 K 0.000 0.500 0.500 1
Cl1 Cl 0.500 0.000 0.500 1
```

Values from the calculation:
- Energy above the most stable polymorph in this dataset: 142 kJ/mol of formula units
- D(E_F): 1.17 states/eV per cell
- Formation energy without anion corrections: -0.170 eV/atom

A relaxed KAg2Cl crystal. Source: the Alexandria database, functional PBE.

CIF file:
```
data_KAg2Cl
_chemical_formula_sum 'K1 Ag2 Cl1'
_symmetry_space_group_name_H-M 'P 1'
_symmetry_Int_Tables_number 1
_cell_length_a 4.502
_cell_length_b 4.502
_cell_length_c 5.757
_cell_angle_alpha 90.00
_cell_angle_beta 90.00
_cell_angle_gamma 90.00
loop_
_symmetry_equiv_pos_as_xyz
'x,y,z'
loop_
_atom_site_label
_atom_site_type_symbol
_atom_site_fract_x
_atom_site_fract_y
_atom_site_fract_z
_atom_site_occupancy
Cl1 Cl 0.500 0.500 0.250 1
Ag1 Ag 0.000 0.000 0.987 1
K1 K 0.500 0.500 0.750 1
Ag2 Ag 0.000 0.000 0.513 1
```

Values from the calculation:
- Energy above the most stable polymorph in this dataset: 130 kJ/mol of formula units
- D(E_F): 1.99 states/eV per cell
- Formation energy without anion corrections: -0.202 eV/atom

A relaxed K2AgCl3 crystal. Source: the Alexandria database, functional PBE.

CIF file:
```
data_K2AgCl3
_chemical_formula_sum 'K8 Ag4 Cl12'
_symmetry_space_group_name_H-M 'P 1'
_symmetry_Int_Tables_number 1
_cell_length_a 4.368
_cell_length_b 9.119
_cell_length_c 17.622
_cell_angle_alpha 90.00
_cell_angle_beta 90.00
_cell_angle_gamma 90.00
loop_
_symmetry_equiv_pos_as_xyz
'x,y,z'
loop_
_atom_site_label
_atom_site_type_symbol
_atom_site_fract_x
_atom_site_fract_y
_atom_site_fract_z
_atom_site_occupancy
Cl1 Cl 0.250 0.974 0.096 1
K1 K 0.250 0.917 0.284 1
Cl2 Cl 0.750 0.378 0.073 1
Ag1 Ag 0.750 0.615 0.370 1
Cl3 Cl 0.250 0.622 0.927 1
Ag2 Ag 0.750 0.115 0.130 1
Cl4 Cl 0.750 0.679 0.225 1
Cl5 Cl 0.750 0.878 0.427 1
Ag3 Ag 0.250 0.385 0.630 1
K2 K 0.750 0.230 0.457 1
K3 K 0.750 0.083 0.716 1
Cl6 Cl 0.250 0.474 0.404 1
Cl7 Cl 0.250 0.122 0.573 1
K4 K 0.250 0.770 0.543 1
Cl8 Cl 0.250 0.821 0.725 1
Cl9 Cl 0.750 0.026 0.904 1
Cl10 Cl 0.750 0.526 0.596 1
K5 K 0.250 0.270 0.957 1
K6 K 0.750 0.730 0.043 1
Cl11 Cl 0.750 0.179 0.275 1
Ag4 Ag 0.250 0.885 0.870 1
K7 K 0.750 0.583 0.784 1
K8 K 0.250 0.417 0.216 1
Cl12 Cl 0.250 0.321 0.775 1
```

Values from the calculation:
- Energy above the most stable polymorph in this dataset: 0 kJ/mol of formula units
- D(E_F): 0.00 states/eV per cell
- Formation energy without anion corrections: -1.456 eV/atom

A relaxed K3Ag2Cl9 crystal. Source: the Alexandria database, functional PBE.

CIF file:
```
data_K3Ag2Cl9
_chemical_formula_sum 'K3 Ag2 Cl9'
_symmetry_space_group_name_H-M 'P 1'
_symmetry_Int_Tables_number 1
_cell_length_a 7.092
_cell_length_b 7.092
_cell_length_c 8.761
_cell_angle_alpha 90.00
_cell_angle_beta 90.00
_cell_angle_gamma 120.00
loop_
_symmetry_equiv_pos_as_xyz
'x,y,z'
loop_
_atom_site_label
_atom_site_type_symbol
_atom_site_fract_x
_atom_site_fract_y
_atom_site_fract_z
_atom_site_occupancy
Cl1 Cl 0.500 0.500 0.000 1
Ag1 Ag 0.333 0.667 0.830 1
Cl2 Cl 0.166 0.834 0.674 1
Cl3 Cl 0.834 0.667 0.326 1
Cl4 Cl 0.500 0.000 0.000 1
Cl5 Cl 0.834 0.166 0.326 1
K1 K 0.667 0.333 0.639 1
Cl6 Cl 0.000 0.500 0.000 1
Cl7 Cl 0.333 0.166 0.326 1
Cl8 Cl 0.166 0.333 0.674 1
Cl9 Cl 0.667 0.834 0.674 1
Ag2 Ag 0.667 0.333 0.170 1
K2 K 0.000 0.000 0.000 1
K3 K 0.333 0.667 0.361 1
```

Values from the calculation:
- D(E_F): 8.16 states/eV per cell
- Formation energy without anion corrections: -0.953 eV/atom

A relaxed K12Ag3Cl5 crystal. Source: the Alexandria database, functional PBE.

CIF file:
```
data_K12Ag3Cl5
_chemical_formula_sum 'K48 Ag12 Cl20'
_symmetry_space_group_name_H-M 'P 1'
_symmetry_Int_Tables_number 1
_cell_length_a 16.844
_cell_length_b 16.844
_cell_length_c 16.844
_cell_angle_alpha 109.47
_cell_angle_beta 109.47
_cell_angle_gamma 109.47
loop_
_symmetry_equiv_pos_as_xyz
'x,y,z'
loop_
_atom_site_label
_atom_site_type_symbol
_atom_site_fract_x
_atom_site_fract_y
_atom_site_fract_z
_atom_site_occupancy
Cl1 Cl 0.750 0.625 0.375 1
K1 K 0.584 0.713 0.674 1
Cl2 Cl 0.375 0.125 0.750 1
Ag1 Ag 0.750 0.375 0.125 1
Ag2 Ag 0.375 0.750 0.625 1
Cl3 Cl 0.250 0.875 0.125 1
K2 K 0.084 0.910 0.371 1
K3 K 0.174 0.090 0.961 1
K4 K 0.326 0.787 0.416 1
Ag3 Ag 0.625 0.375 0.750 1
K5 K 0.416 0.129 0.590 1
K6 K 0.287 0.871 0.961 1
K7 K 0.213 0.674 0.084 1
K8 K 0.910 0.084 0.871 1
K9 K 0.090 0.916 0.129 1
K10 K 0.410 0.039 0.326 1
Cl4 Cl 0.625 0.750 0.875 1
K11 K 0.174 0.084 0.713 1
K12 K 0.326 0.539 0.410 1
K13 K 0.539 0.213 0.129 1
K14 K 0.826 0.910 0.039 1
Cl5 Cl 0.875 0.625 0.750 1
Ag4 Ag 0.250 0.125 0.375 1
Ag5 Ag 0.625 0.250 0.375 1
Cl6 Cl 0.125 0.750 0.375 1
K15 K 0.371 0.410 0.084 1
K16 K 0.713 0.129 0.039 1
Cl7 Cl 0.625 0.875 0.250 1
K17 K 0.871 0.287 0.461 1
Cl8 Cl 0.000 0.000 0.000 1
K18 K 0.826 0.916 0.287 1
K19 K 0.916 0.826 0.787 1
K20 K 0.629 0.039 0.213 1
K21 K 0.129 0.416 0.090 1
Cl9 Cl 0.000 0.500 0.000 1
K22 K 0.539 0.326 0.910 1
Ag6 Ag 0.375 0.625 0.250 1
Cl10 Cl 0.500 0.000 0.000 1
K23 K 0.461 0.674 0.090 1
K24 K 0.961 0.371 0.287 1
Ag7 Ag 0.875 0.750 0.125 1
Cl11 Cl 0.000 0.000 0.500 1
K25 K 0.787 0.326 0.916 1
K26 K 0.084 0.174 0.213 1
K27 K 0.590 0.629 0.416 1
K28 K 0.039 0.629 0.713 1
Cl12 Cl 0.500 0.500 0.500 1
K29 K 0.416 0.287 0.326 1
Ag8 Ag 0.750 0.875 0.625 1
K30 K 0.590 0.961 0.674 1
K31 K 0.213 0.539 0.629 1
K32 K 0.871 0.584 0.910 1
K33 K 0.674 0.461 0.590 1
Cl13 Cl 0.750 0.125 0.875 1
K34 K 0.713 0.584 0.174 1
Cl14 Cl 0.875 0.250 0.625 1
Ag9 Ag 0.250 0.625 0.875 1
K35 K 0.129 0.713 0.539 1
K36 K 0.916 0.090 0.629 1
K37 K 0.039 0.410 0.826 1
K38 K 0.584 0.871 0.410 1
K39 K 0.287 0.416 0.826 1
K40 K 0.674 0.213 0.584 1
K41 K 0.629 0.590 0.916 1
K42 K 0.461 0.787 0.871 1
K43 K 0.961 0.590 0.174 1
Cl15 Cl 0.375 0.250 0.125 1
K44 K 0.371 0.961 0.787 1
K45 K 0.090 0.174 0.461 1
Cl16 Cl 0.500 0.000 0.500 1
K46 K 0.410 0.371 0.584 1
Cl17 Cl 0.500 0.500 0.000 1
Cl18 Cl 0.250 0.375 0.625 1
Ag10 Ag 0.125 0.875 0.750 1
Cl19 Cl 0.000 0.500 0.500 1
K47 K 0.910 0.826 0.539 1
Ag11 Ag 0.875 0.125 0.250 1
Cl20 Cl 0.125 0.375 0.250 1
K48 K 0.787 0.461 0.371 1
Ag12 Ag 0.125 0.250 0.875 1
```

Values from the calculation:
- D(E_F): 39.33 states/eV per cell
- Formation energy without anion corrections: -0.856 eV/atom

| no. | density (g/cm³) | VASP energy (eV/atom) | total magnetic moment (μB/f.u.) |
| --- | --- | --- | --- |
| 1 | 4.06 | -2.47 | 0.00 |
| 2 | 2.36 | -2.86 | 4.05 |
| 3 | 2.71 | -3.19 | 0.00 |
| 4 | 4.33 | -2.33 | 0.00 |
| 5 | 4.13 | -2.36 | 0.00 |
| 6 | 2.77 | -3.22 | 0.00 |
| 7 | 2.84 | -2.78 | 0.00 |
| 8 | 1.75 | -2.40 | 0.00 |